Zr3Au2 GGA-PBE relaxed; DFT total energy = -66.08 eV/cell
1.0
5.826 0.037 0.067
-0.929 6.369 0.650
-0.929 -2.858 5.729
Zr Au
6 4
Cartesian
-0.465 -1.429 2.865
2.540 0.529 2.525
-0.373 1.832 1.765
4.340 1.716 4.681
2.448 3.203 0.358
1.427 3.019 3.921
3.440 -1.101 4.828
0.527 -2.163 5.369
3.440 5.711 1.078
0.527 4.650 1.619